LiMn5O3F5 after structural relaxation, computed with GGA+U.

a b c (Å): 6.4464 6.4464 15.6600
angles (deg): 90.00 90.00 120.00
Space group R3m (No. 160, hexagonal axes)
Unique sites:
Li 0.0000 0.0000 0.0000 x3
Mn 0.0000 0.0000 0.3866 x3
Mn 0.0000 0.0000 0.7704 x3
Mn 0.1703 0.3407 0.2054 x9
O 0.0241 0.5121 0.1352 x9
F 0.0000 0.0000 0.1302 x3
F 0.0000 0.0000 0.6286 x3
F 0.1799 0.3598 0.9575 x9

Computed properties:
- Total magnetic moment: 75.00 μB per cell
- Energy above the most stable polymorph in this dataset: 0.000 eV per formula unit
- Final energy: -282.8 eV for the cell shown